{"formula": "PrGdNiRh", "functional": "PBE-GGA", "state": "optimized geometry", "total_energy_ev_per_atom": -8.475, "crystal_system": "cubic", "space_group": "F-43m", "dos_at_fermi_per_ev_atom": 0.74, "ef_kj_per_mol_fu": -184, "rho_g_cm3": 8.9, "lattice_angstrom": [[-4.451, -2.165, 0.004], [-1.710, -2.134, 4.125], [-3.753, 2.063, 2.481]], "species": ["Ni", "Gd", "Pr", "Rh"], "frac_coords": [[0.250, 0.250, 0.250], [0.000, 0.000, 0.000], [0.500, 0.500, 0.500], [0.750, 0.750, 0.750]]}